# Ba2HIrN (GGA-PBE, relaxed)
data_Ba2HIrN
_chemical_formula_sum 'Ba2 H1 Ir1 N1'
_cell_length_a 5.712
_cell_length_b 5.712
_cell_length_c 3.504
_cell_angle_alpha 90.00
_cell_angle_beta 90.00
_cell_angle_gamma 90.00
_symmetry_space_group_name_H-M 'P 4/m m m'
_symmetry_Int_Tables_number 123
_symmetry_space_group_name_Hall '-P 4 2'
loop_
_atom_site_label
_atom_site_fract_x
_atom_site_fract_y
_atom_site_fract_z
Ba1 0.000 0.500 0.000
H1 0.000 0.000 0.500
Ir1 0.000 0.000 0.000
N1 0.500 0.500 0.500
# Theoretical density, Mg/m³: 7.0
# Electronic total energy, eV/atom: -4.462
# Excess energy over the best structure of this formula in the dataset, meV/atom: 836.0